Model A:
CsSmB4: relaxed, PBE.

Lattice parameters (Å, degrees): 3.2161 5.5112 9.7220 90.00 90.00 90.00
Closest atoms and distances in Å follow each position.
Space group Immm (No. 71)
Asymmetric unit:
Cs: 0.0000 0.0000 0.0000 (multiplicity 2)  12 B 3.01-3.09, 4 Sm 3.19, 2 Cs 3.22
Sm: 0.0000 0.0000 0.5000 (multiplicity 2)  12 B 3.02-3.08, 4 Cs 3.19, 2 Sm 3.22
B: 0.0000 0.3334 0.2452 (multiplicity 8)  3 B 1.84-1.85

total magnetic moment: 0.0 μB/f.u.



Model B:
CsSmB4: relaxed, PBE.

Lattice parameters (Å, degrees): 3.3015 3.3015 9.5505 90.00 90.00 120.00
Closest atoms and distances in Å follow each position.
Space group P6/mmm (No. 191)
Asymmetric unit:
Cs: 0.0000 0.0000 0.0000 (multiplicity 1)  6 Cs 3.30, 12 B 3.40
Sm: 0.0000 0.0000 0.5000 (multiplicity 1)  12 B 2.74
B: 0.3333 0.6667 0.2943 (multiplicity 4)  3 B 1.91

total magnetic moment: 0.0 μB/f.u.



Tell me which of them is the least stable. Sure, it is model A.



Model A:
CsTaB4: relaxed, PBE.

Lattice parameters (Å, degrees): 3.0816 5.6473 8.3965 90.00 90.00 90.00
Closest atoms and distances in Å follow each position.
Space group Immm (No. 71)
Asymmetric unit:
Cs: 0.0000 0.0000 0.0000 (multiplicity 2)  12 B 2.76-2.85, 2 Cs 3.08
Ta: 0.0000 0.0000 0.5000 (multiplicity 2)  12 B 2.67-2.93
B: 0.0000 0.3395 0.2363 (multiplicity 8)  3 B 1.81-1.86

total magnetic moment: 0.0 μB/f.u.



Model B:
CsTaB4: relaxed, PBE.

Lattice parameters (Å, degrees): 3.1440 3.1440 8.8790 90.00 90.00 120.00
Closest atoms and distances in Å follow each position.
Space group P6/mmm (No. 191)
Asymmetric unit:
Cs: 0.0000 0.0000 0.0000 (multiplicity 1)  6 Cs 3.14, 12 B 3.35
Ta: 0.0000 0.0000 0.5000 (multiplicity 1)  12 B 2.44
B: 0.3333 0.6667 0.3167 (multiplicity 4)  3 B 1.82

total magnetic moment: 0.0 μB/f.u.



Tell me which of them is the least stable. Sure, it is model A.



Model A:
CsThB4: relaxed, PBE.

Lattice parameters (Å, degrees): 3.3472 3.3472 9.5630 90.00 90.00 120.00
Closest atoms and distances in Å follow each position.
Space group P6/mmm (No. 191)
Asymmetric unit:
Cs: 0.0000 0.0000 0.0000 (multiplicity 1)  6 Cs 3.35, 12 B 3.40
Th: 0.0000 0.0000 0.5000 (multiplicity 1)  12 B 2.77
B: 0.3333 0.6667 0.2926 (multiplicity 4)  3 B 1.93

total magnetic moment: 0.0 μB/f.u.



Model B:
CsThB4: relaxed, PBE.

Lattice parameters (Å, degrees): 3.1766 8.2184 8.2568 90.00 90.00 90.00
Closest atoms and distances in Å follow each position.
Space group Immm (No. 71)
Asymmetric unit:
Cs: 0.0000 0.0000 0.0000 (multiplicity 2)  12 B 2.96-3.29, 2 Cs 3.18
Th: 0.0000 0.0000 0.5000 (multiplicity 2)  12 B 3.05-3.20, 2 Th 3.18
B: 0.0000 0.2651 0.2418 (multiplicity 8)  2 B 1.61

total magnetic moment: 0.0 μB/f.u.



Tell me which of them is the least stable. Sure, it is model B.



Model A:
CsZrB4: relaxed, PBE.

Lattice parameters (Å, degrees): 3.2309 3.2309 9.0389 90.00 90.00 120.00
Closest atoms and distances in Å follow each position.
Space group P6/mmm (No. 191)
Asymmetric unit:
Cs: 0.0000 0.0000 0.0000 (multiplicity 1)  6 Cs 3.23, 12 B 3.38
Zr: 0.0000 0.0000 0.5000 (multiplicity 1)  12 B 2.52
B: 0.3333 0.6667 0.3118 (multiplicity 4)  3 B 1.87

total magnetic moment: 0.0 μB/f.u.



Model B:
CsZrB4: relaxed, PBE.

Lattice parameters (Å, degrees): 3.1273 5.5508 8.9869 90.00 90.00 90.00
Closest atoms and distances in Å follow each position.
Space group Immm (No. 71)
Asymmetric unit:
Cs: 0.0000 0.0000 0.0000 (multiplicity 2)  12 B 2.88-2.94, 2 Cs 3.13, 4 Zr 3.19
Zr: 0.0000 0.0000 0.5000 (multiplicity 2)  12 B 2.81-3.00, 2 Zr 3.13
B: 0.0000 0.3416 0.2413 (multiplicity 8)  3 B 1.76-1.87

total magnetic moment: 0.0 μB/f.u.



Tell me which of them is the least stable. Sure, it is model B.



Model A:
ErCuB4: relaxed, PBE.

Lattice parameters (Å, degrees): 3.1536 5.2673 7.5094 90.00 90.00 90.00
Closest atoms and distances in Å follow each position.
Space group Immm (No. 71)
Asymmetric unit:
Er: 0.0000 0.0000 0.0000 (multiplicity 2)  12 B 2.57-2.59
Cu: 0.0000 0.0000 0.5000 (multiplicity 2)  12 B 2.47-2.68
B: 0.0000 0.3218 0.2609 (multiplicity 8)  3 B 1.76-1.88

total magnetic moment: 0.0 μB/f.u.



Model B:
ErCuB4: relaxed, PBE.

Lattice parameters (Å, degrees): 3.1847 3.1847 6.6077 90.00 90.00 120.00
Closest atoms and distances in Å follow each position.
Space group P6/mmm (No. 191)
Asymmetric unit:
Er: 0.0000 0.0000 0.0000 (multiplicity 1)  12 B 2.61
Cu: 0.0000 0.0000 0.5000 (multiplicity 1)  12 B 2.35
B: 0.3333 0.6667 0.2794 (multiplicity 4)  3 B 1.84

total magnetic moment: 0.0 μB/f.u.



Tell me which of them is the least stable. Sure, it is model A.



Model A:
FeCuB4: relaxed, PBE.

Lattice parameters (Å, degrees): 2.9923 5.1413 6.4384 90.00 90.00 90.00
Closest atoms and distances in Å follow each position.
Space group Immm (No. 71)
Asymmetric unit:
Fe: 0.0000 0.0000 0.0000 (multiplicity 2)  12 B 2.33-2.37
Cu: 0.0000 0.0000 0.5000 (multiplicity 2)  12 B 2.31-2.40
B: 0.0000 0.3297 0.2571 (multiplicity 8)  3 B 1.71-1.75

total magnetic moment: 2.9 μB/f.u.



Model B:
FeCuB4: relaxed, PBE.

Lattice parameters (Å, degrees): 2.9586 2.9586 6.5919 90.00 90.00 120.00
Closest atoms and distances in Å follow each position.
Space group P6/mmm (No. 191)
Asymmetric unit:
Fe: 0.0000 0.0000 0.0000 (multiplicity 1)  12 B 2.30
Cu: 0.0000 0.0000 0.5000 (multiplicity 1)  12 B 2.45
B: 0.3333 0.6667 0.2332 (multiplicity 4)  3 B 1.71

total magnetic moment: 2.7 μB/f.u.



Tell me which of them is the least stable. Sure, it is model A.